Computed, not measured: a relaxed structure of Ce2Ti3Ge4 at the PBE level of DFT.

Results
The value obtained for the calculated volume is 347.1 Å³/cell. The calculation puts the energy of formation from the pure elements at -0.737 eV/atom.

Lattice parameters (Å, degrees): 7.209 7.177 7.134 90.00 109.86 90.00
Space group P2_1/c (No. 14)
Inequivalent atoms, fractional coordinates:
1 Ce 0.183 0.163 0.059 (multiplicity 4)
2 Ti 0.256 0.666 0.250 (multiplicity 4)
3 Ti 0.500 0.000 0.500 (multiplicity 2)
4 Ge 0.094 0.546 0.867 (multiplicity 4)
5 Ge 0.496 0.137 0.862 (multiplicity 4)


Computed, not measured: a relaxed structure of Na2MnGeS5 at the PBE level of DFT.

Results
The calculation puts the uncorrected formation energy at -0.646 eV/atom. The value obtained for the calculated volume is 766.8 Å³/cell.

Lattice parameters (Å, degrees): 3.558 17.032 12.654 90.00 90.00 90.00
Space group Cmc2_1 (No. 36)
Inequivalent atoms, fractional coordinates:
1 Na 0.000 0.106 0.000 (multiplicity 4)
2 Na 0.000 0.128 0.660 (multiplicity 4)
3 Mn 0.000 0.222 0.382 (multiplicity 4)
4 Ge 0.000 0.428 0.767 (multiplicity 4)
5 S 0.000 0.059 0.383 (multiplicity 4)
6 S 0.000 0.277 0.001 (multiplicity 4)
7 S 0.000 0.297 0.752 (multiplicity 4)
8 S 0.000 0.347 0.340 (multiplicity 4)
9 S 0.000 0.493 0.623 (multiplicity 4)


Computed, not measured: a relaxed structure of Pm3Pr2Sn at the PBE level of DFT.

Results
The value obtained for the calculated volume is 398.4 Å³/cell. The value obtained for the polymorph energy (0 for the lowest one) is 0.024 eV/atom. The calculation puts the energy of formation from the pure elements at -0.233 eV/atom.

Lattice parameters (Å, degrees): 5.529 10.670 6.752 90.00 90.00 90.00
Space group Pmc2_1 (No. 26)
Inequivalent atoms, fractional coordinates:
1 Pm 0.000 0.043 0.000 (multiplicity 2)
2 Pm 0.000 0.267 0.375 (multiplicity 2)
3 Pm 0.500 0.435 0.190 (multiplicity 2)
4 Pr 0.000 0.399 0.880 (multiplicity 2)
5 Pr 0.500 0.202 0.739 (multiplicity 2)
6 Sn 0.500 0.116 0.255 (multiplicity 2)


Repeat the second record exactly.
Computed, not measured: a relaxed structure of Na2MnGeS5 at the PBE level of DFT.

Results
The calculation puts the uncorrected formation energy at -0.646 eV/atom. The value obtained for the calculated volume is 766.8 Å³/cell.

Lattice parameters (Å, degrees): 3.558 17.032 12.654 90.00 90.00 90.00
Space group Cmc2_1 (No. 36)
Inequivalent atoms, fractional coordinates:
1 Na 0.000 0.106 0.000 (multiplicity 4)
2 Na 0.000 0.128 0.660 (multiplicity 4)
3 Mn 0.000 0.222 0.382 (multiplicity 4)
4 Ge 0.000 0.428 0.767 (multiplicity 4)
5 S 0.000 0.059 0.383 (multiplicity 4)
6 S 0.000 0.277 0.001 (multiplicity 4)
7 S 0.000 0.297 0.752 (multiplicity 4)
8 S 0.000 0.347 0.340 (multiplicity 4)
9 S 0.000 0.493 0.623 (multiplicity 4)